An optimized crystal structure of Cs2V3AgF12. Source: the Alexandria database, functional GGA+U.

Computed properties:
- energy (eV per formula unit) = -98.25
- symmetry = R-3m (166)

```
Cs2V3AgF12
1.0
-3.7144 4.7829 4.7018
-6.7339 -2.0493 3.0390
-0.5199 -1.5911 7.4819
Cs V Ag F
2 3 1 12
direct
0.6193 0.6193 0.6193
0.3807 0.3807 0.3807
0.5000 0.0000 0.0000
0.0000 0.5000 0.0000
0.0000 0.0000 0.5000
0.0000 0.0000 0.0000
0.2948 0.2948 0.9098
0.8975 0.8975 0.3976
0.3976 0.8975 0.8975
0.9098 0.2948 0.2948
0.8975 0.3976 0.8975
0.2948 0.9098 0.2948
0.7052 0.7052 0.0901
0.1025 0.1025 0.6024
0.6024 0.1025 0.1025
0.0901 0.7052 0.7052
0.1025 0.6024 0.1025
0.7052 0.0901 0.7052
```